## ZnOsW2 (PBE)

Data for a relaxed ZnOsW2 crystal.

Properties
Its total energy is -37.70 eV/cell. The value obtained for the formation energy is 4.12 kcal/mol of atoms. As for the calculated volume: 60 Å³/cell. As for the total moment: 0.00 μB per formula unit.

Cell: 2.780 4.035 5.394 Å, 90.00 90.25 90.00°
Space group P2/m (No. 10)
Unique sites:
Zn (0.000, 0.000, 0.000) (multiplicity 1)
Os (0.000, 0.000, 0.500) (multiplicity 1)
W (0.499, 0.500, 0.747) (multiplicity 2)